No. 1
TiGa2Co3 | GGA-PBE | optimized geometry

The calculation puts the polymorph energy (0 for the lowest one) at 64 meV per atom. The space group is No. 123. For the calculated total energy, the calculation gives -6.25 eV/atom.

Geometry as CIF:
```
data_TiGa2Co3
_cell_length_a 2.9724
_cell_length_b 2.9724
_cell_length_c 8.3931
_cell_angle_alpha 90.00
_cell_angle_beta 90.00
_cell_angle_gamma 90.00
_symmetry_space_group_name_H-M 'P 1'
_symmetry_Int_Tables_number 1
loop_
_symmetry_equiv_pos_as_xyz
'x,y,z'
loop_
_atom_site_label
_atom_site_fract_x
_atom_site_fract_y
_atom_site_fract_z
Co1 0.0000 0.0000 0.3337
Ga1 0.5000 0.5000 0.8354
Co2 0.0000 0.0000 0.0000
Ga2 0.5000 0.5000 0.1646
Co3 0.0000 0.0000 0.6663
Ti1 0.5000 0.5000 0.5000
```

No. 2
Hf2MgTiH | GGA-PBE | optimized geometry

The calculation puts the polymorph energy (0 for the lowest one) at 0 meV per atom. The space group is No. 123. For the calculated total energy, the calculation gives -6.61 eV/atom.

Geometry as CIF:
```
data_Hf2MgTiH
_cell_length_a 4.4021
_cell_length_b 4.4021
_cell_length_c 4.2746
_cell_angle_alpha 90.00
_cell_angle_beta 90.00
_cell_angle_gamma 90.00
_symmetry_space_group_name_H-M 'P 1'
_symmetry_Int_Tables_number 1
loop_
_symmetry_equiv_pos_as_xyz
'x,y,z'
loop_
_atom_site_label
_atom_site_fract_x
_atom_site_fract_y
_atom_site_fract_z
Ti1 0.0000 0.0000 0.5000
Hf1 0.0000 0.5000 0.0000
Mg1 0.5000 0.5000 0.5000
H1 0.0000 0.0000 0.0000
Hf2 0.5000 0.0000 0.0000
```

No. 3
ErFeTcP2 | GGA-PBE | optimized geometry

The space group is No. 119. For the calculated total energy, the calculation gives -7.76 eV/atom.

Geometry as CIF:
```
data_ErFeTcP2
_cell_length_a 3.9875
_cell_length_b 3.9875
_cell_length_c 5.4994
_cell_angle_alpha 111.26
_cell_angle_beta 111.26
_cell_angle_gamma 90.00
_symmetry_space_group_name_H-M 'P 1'
_symmetry_Int_Tables_number 1
loop_
_symmetry_equiv_pos_as_xyz
'x,y,z'
loop_
_atom_site_label
_atom_site_fract_x
_atom_site_fract_y
_atom_site_fract_z
Er1 0.0000 0.0000 0.0000
Tc1 0.2500 0.7500 0.5000
P1 0.3707 0.3707 0.7414
P2 0.6293 0.6293 0.2586
Fe1 0.7500 0.2500 0.5000
```

No. 4
CuNiIrPd | GGA-PBE | optimized geometry

The space group is No. 216. For the calculated total energy, the calculation gives -5.83 eV/atom.

Geometry as CIF:
```
data_CuNiIrPd
_cell_length_a 4.2267
_cell_length_b 4.2267
_cell_length_c 4.2267
_cell_angle_alpha 60.00
_cell_angle_beta 60.00
_cell_angle_gamma 60.00
_symmetry_space_group_name_H-M 'P 1'
_symmetry_Int_Tables_number 1
loop_
_symmetry_equiv_pos_as_xyz
'x,y,z'
loop_
_atom_site_label
_atom_site_fract_x
_atom_site_fract_y
_atom_site_fract_z
Ir1 0.0000 0.0000 0.0000
Cu1 0.2500 0.2500 0.2500
Ni1 0.7500 0.7500 0.7500
Pd1 0.5000 0.5000 0.5000
```

No. 5
NaCaAcAg | GGA-PBE | optimized geometry

The space group is No. 216. For the calculated total energy, the calculation gives -2.58 eV/atom.

Geometry as CIF:
```
data_NaCaAcAg
_cell_length_a 5.6550
_cell_length_b 5.6550
_cell_length_c 5.6550
_cell_angle_alpha 60.00
_cell_angle_beta 60.00
_cell_angle_gamma 60.00
_symmetry_space_group_name_H-M 'P 1'
_symmetry_Int_Tables_number 1
loop_
_symmetry_equiv_pos_as_xyz
'x,y,z'
loop_
_atom_site_label
_atom_site_fract_x
_atom_site_fract_y
_atom_site_fract_z
Na1 0.2500 0.2500 0.2500
Ca1 0.0000 0.0000 0.0000
Ac1 0.5000 0.5000 0.5000
Ag1 0.7500 0.7500 0.7500
```

No. 6
Mg2AlCuAg | GGA-PBE | optimized geometry

The space group is No. 123. For the calculated total energy, the calculation gives -2.12 eV/atom.

Geometry as CIF:
```
data_Mg2AlCuAg
_cell_length_a 5.1244
_cell_length_b 4.8402
_cell_length_c 5.1244
_cell_angle_alpha 90.00
_cell_angle_beta 90.00
_cell_angle_gamma 90.00
_symmetry_space_group_name_H-M 'P 1'
_symmetry_Int_Tables_number 1
loop_
_symmetry_equiv_pos_as_xyz
'x,y,z'
loop_
_atom_site_label
_atom_site_fract_x
_atom_site_fract_y
_atom_site_fract_z
Ag1 0.0000 0.5000 0.0000
Cu1 0.5000 0.5000 0.5000
Mg1 0.0000 0.0000 0.5000
Al1 0.0000 0.0000 0.0000
Mg2 0.5000 0.0000 0.0000
```

No. 7
ErThMnC3 | GGA-PBE | optimized geometry

The space group is No. 11. For the calculated total energy, the calculation gives -8.21 eV/atom.

Geometry as CIF:
```
data_ErThMnC3
_cell_length_a 3.5518
_cell_length_b 7.5125
_cell_length_c 7.1721
_cell_angle_alpha 91.82
_cell_angle_beta 90.00
_cell_angle_gamma 90.00
_symmetry_space_group_name_H-M 'P 1'
_symmetry_Int_Tables_number 1
loop_
_symmetry_equiv_pos_as_xyz
'x,y,z'
loop_
_atom_site_label
_atom_site_fract_x
_atom_site_fract_y
_atom_site_fract_z
C1 0.2500 0.8506 0.4933
Th1 0.7500 0.3848 0.8043
C2 0.7500 0.8866 0.1700
Mn1 0.2500 0.0876 0.5842
C3 0.7500 0.3815 0.1412
C4 0.2500 0.6185 0.8588
Er1 0.7500 0.8505 0.8277
C5 0.7500 0.1494 0.5067
C6 0.2500 0.1134 0.8300
Th2 0.2500 0.6152 0.1957
Er2 0.2500 0.1495 0.1723
Mn2 0.7500 0.9124 0.4158
```

No. 8
MgGa2Rh4 | GGA-PBE | optimized geometry

The space group is No. 139. For the calculated total energy, the calculation gives -5.65 eV/atom.

Geometry as CIF:
```
data_MgGa2Rh4
_cell_length_a 5.1810
_cell_length_b 5.1810
_cell_length_c 5.1810
_cell_angle_alpha 109.61
_cell_angle_beta 109.40
_cell_angle_gamma 109.40
_symmetry_space_group_name_H-M 'P 1'
_symmetry_Int_Tables_number 1
loop_
_symmetry_equiv_pos_as_xyz
'x,y,z'
loop_
_atom_site_label
_atom_site_fract_x
_atom_site_fract_y
_atom_site_fract_z
Mg1 0.0000 0.0000 0.0000
Rh1 0.5000 0.5000 0.5000
Rh2 0.0000 0.0000 0.5000
Rh3 0.0000 0.5000 0.0000
Ga1 0.5000 0.0000 0.5000
Ga2 0.5000 0.5000 0.0000
Rh4 0.5000 0.0000 0.0000
```

No. 9
HfAgAsBr2 | GGA-PBE | optimized geometry

As for the energy relative to the elements, uncorrected: -1.03 eV/f.u. The calculation puts the polymorph energy (0 for the lowest one) at 0 meV per atom. The space group is No. 123. For the calculated total energy, the calculation gives -4.37 eV/atom.

Geometry as CIF:
```
data_HfAgAsBr2
_cell_length_a 5.2226
_cell_length_b 5.2226
_cell_length_c 5.3090
_cell_angle_alpha 90.00
_cell_angle_beta 90.00
_cell_angle_gamma 90.00
_symmetry_space_group_name_H-M 'P 1'
_symmetry_Int_Tables_number 1
loop_
_symmetry_equiv_pos_as_xyz
'x,y,z'
loop_
_atom_site_label
_atom_site_fract_x
_atom_site_fract_y
_atom_site_fract_z
Br1 0.0000 0.5000 0.0000
Ag1 0.5000 0.5000 0.5000
As1 0.0000 0.0000 0.5000
Br2 0.5000 0.0000 0.0000
Hf1 0.0000 0.0000 0.0000
```

No. 10
Ba2NaLi2 | GGA-PBE | optimized geometry

The calculation puts the polymorph energy (0 for the lowest one) at 56 meV per atom. The space group is No. 139. For the calculated total energy, the calculation gives -1.71 eV/atom.

Geometry as CIF:
```
data_Ba2NaLi2
_cell_length_a 4.2196
_cell_length_b 4.2196
_cell_length_c 12.1539
_cell_angle_alpha 80.00
_cell_angle_beta 80.00
_cell_angle_gamma 90.00
_symmetry_space_group_name_H-M 'P 1'
_symmetry_Int_Tables_number 1
loop_
_symmetry_equiv_pos_as_xyz
'x,y,z'
loop_
_atom_site_label
_atom_site_fract_x
_atom_site_fract_y
_atom_site_fract_z
Ba1 0.6188 0.6188 0.7625
Li1 0.2500 0.7500 0.5000
Li2 0.7500 0.2500 0.5000
Ba2 0.3812 0.3812 0.2375
Na1 0.0000 0.0000 0.0000
```

No. 11
CeAs2Ir | GGA-PBE | optimized geometry

The space group is No. 166. For the calculated total energy, the calculation gives -6.86 eV/atom.

Geometry as CIF:
```
data_CeAs2Ir
_cell_length_a 4.0773
_cell_length_b 4.0773
_cell_length_c 6.0526
_cell_angle_alpha 70.32
_cell_angle_beta 70.32
_cell_angle_gamma 60.00
_symmetry_space_group_name_H-M 'P 1'
_symmetry_Int_Tables_number 1
loop_
_symmetry_equiv_pos_as_xyz
'x,y,z'
loop_
_atom_site_label
_atom_site_fract_x
_atom_site_fract_y
_atom_site_fract_z
As1 0.7299 0.7299 0.8102
As2 0.2701 0.2701 0.1898
Ir1 0.0000 0.0000 0.0000
Ce1 0.5000 0.5000 0.5000
```

No. 12
SrCaCo2 | GGA-PBE | optimized geometry

The calculation puts the polymorph energy (0 for the lowest one) at 501 meV per atom. The space group is No. 119. For the calculated total energy, the calculation gives -3.76 eV/atom.

Geometry as CIF:
```
data_SrCaCo2
_cell_length_a 5.7495
_cell_length_b 5.7495
_cell_length_c 5.7495
_cell_angle_alpha 136.52
_cell_angle_beta 136.52
_cell_angle_gamma 63.18
_symmetry_space_group_name_H-M 'P 1'
_symmetry_Int_Tables_number 1
loop_
_symmetry_equiv_pos_as_xyz
'x,y,z'
loop_
_atom_site_label
_atom_site_fract_x
_atom_site_fract_y
_atom_site_fract_z
Co1 0.2500 0.7500 0.5000
Co2 0.0000 0.0000 0.0000
Ca1 0.7500 0.2500 0.5000
Sr1 0.5000 0.5000 0.0000
```

Which value of calculated total energy does entry 9 give? -4.37 eV/atom